Entry from Alexandria via LeMat-Bulk: a relaxed TmGa3Pd2 crystal (PBE).

Unit cell a=8.007 b=8.007 c=8.007 alpha=149.10 beta=123.32 gamma=65.96
Element x y z (fractional)
Tm 0.130 0.130 0.000
Tm 0.870 0.870 0.000
Ga 0.113 0.322 0.791
Ga 0.339 0.000 0.339
Ga 0.469 0.678 0.791
Ga 0.531 0.322 0.209
Ga 0.661 0.000 0.661
Ga 0.887 0.678 0.209
Pd 0.177 0.500 0.677
Pd 0.306 0.806 0.500
Pd 0.694 0.194 0.500
Pd 0.823 0.500 0.323

Properties
Symmetry: Immm (71)
Magnetic moment: 0.000 μB per atom
ΔH_f (0 K): -672 meV per atom



Entry from Alexandria via LeMat-Bulk: a relaxed Tm5GaPd4 crystal (PBE).

Unit cell a=3.476 b=3.476 c=17.384 alpha=90.00 beta=90.00 gamma=90.00
Element x y z (fractional)
Tm 0.000 0.000 0.000
Tm 0.000 0.000 0.198
Tm 0.000 0.000 0.396
Tm 0.000 0.000 0.604
Tm 0.000 0.000 0.802
Ga 0.500 0.500 0.500
Pd 0.500 0.500 0.099
Pd 0.500 0.500 0.299
Pd 0.500 0.500 0.701
Pd 0.500 0.500 0.901

Properties
Symmetry: P4/mmm (123)
Magnetic moment: 0.000 μB per atom
ΔH_f (0 K): -870 meV per atom



Entry from Alexandria via LeMat-Bulk: a relaxed Tm3Ga2Pd2 crystal (PBE).

Unit cell a=5.573 b=7.834 c=13.419 alpha=90.00 beta=90.00 gamma=90.00
Element x y z (fractional)
Tm 0.135 0.236 0.250
Tm 0.135 0.264 0.750
Tm 0.355 0.600 0.101
Tm 0.355 0.600 0.399
Tm 0.355 0.900 0.601
Tm 0.355 0.900 0.899
Tm 0.645 0.100 0.101
Tm 0.645 0.100 0.399
Tm 0.645 0.400 0.601
Tm 0.645 0.400 0.899
Tm 0.865 0.736 0.250
Tm 0.865 0.764 0.750
Ga 0.183 0.250 0.000
Ga 0.183 0.250 0.500
Ga 0.376 0.617 0.750
Ga 0.376 0.883 0.250
Ga 0.624 0.117 0.750
Ga 0.624 0.383 0.250
Ga 0.817 0.750 0.000
Ga 0.817 0.750 0.500
Pd 0.126 0.547 0.594
Pd 0.126 0.547 0.906
Pd 0.126 0.953 0.094
Pd 0.126 0.953 0.406
Pd 0.874 0.047 0.594
Pd 0.874 0.047 0.906
Pd 0.874 0.453 0.094
Pd 0.874 0.453 0.406

Properties
Symmetry: Pbcm (57)
Magnetic moment: 0.000 μB per atom
ΔH_f (0 K): -811 meV per atom



Entry from Alexandria via LeMat-Bulk: a relaxed Tm4Ga12Pd crystal (PBE).

Unit cell a=7.422 b=7.422 c=7.422 alpha=109.47 beta=109.47 gamma=109.47
Element x y z (fractional)
Tm 0.000 0.000 0.500
Tm 0.000 0.500 0.000
Tm 0.500 0.000 0.000
Tm 0.500 0.500 0.500
Ga 0.000 0.296 0.296
Ga 0.000 0.704 0.704
Ga 0.250 0.500 0.750
Ga 0.250 0.750 0.500
Ga 0.296 0.000 0.296
Ga 0.296 0.296 0.000
Ga 0.500 0.250 0.750
Ga 0.500 0.750 0.250
Ga 0.704 0.000 0.704
Ga 0.704 0.704 0.000
Ga 0.750 0.250 0.500
Ga 0.750 0.500 0.250
Pd 0.000 0.000 0.000

Properties
Symmetry: Im-3m (229)
Magnetic moment: 0.000 μB per atom
ΔH_f (0 K): -581 meV per atom



Entry from Alexandria via LeMat-Bulk: a relaxed Tm2GaPd crystal (PBE).

Unit cell a=5.858 b=4.450 c=7.312 alpha=90.00 beta=111.23 gamma=90.00
Element x y z (fractional)
Tm 0.173 0.250 0.410
Tm 0.278 0.750 0.076
Tm 0.722 0.250 0.924
Tm 0.827 0.750 0.590
Ga 0.384 0.750 0.699
Ga 0.616 0.250 0.301
Pd 0.158 0.250 0.798
Pd 0.842 0.750 0.202

Properties
Symmetry: P2_1/m (11)
Magnetic moment: 0.000 μB per atom
ΔH_f (0 K): -767 meV per atom



Entry from Alexandria via LeMat-Bulk: a relaxed TmGa3Pd3 crystal (PBE).

Unit cell a=7.221 b=7.221 c=7.221 alpha=56.83 beta=56.83 gamma=56.83
Element x y z (fractional)
Tm 0.161 0.161 0.161
Tm 0.839 0.839 0.839
Ga 0.036 0.600 0.233
Ga 0.233 0.036 0.600
Ga 0.400 0.767 0.964
Ga 0.600 0.233 0.036
Ga 0.767 0.964 0.400
Ga 0.964 0.400 0.767
Pd 0.192 0.680 0.424
Pd 0.320 0.576 0.808
Pd 0.424 0.192 0.680
Pd 0.576 0.808 0.320
Pd 0.680 0.424 0.192
Pd 0.808 0.320 0.576

Properties
Symmetry: R-3 (148)
Offset from the most stable computed form: 0 meV per atom
Magnetic moment: 0.000 μB per atom
ΔH_f (0 K): -664 meV per atom



Entry from Alexandria via LeMat-Bulk: a relaxed Tm8GaPd2 crystal (PBE).

Unit cell a=7.892 b=7.892 c=5.432 alpha=99.26 beta=99.26 gamma=115.28
Element x y z (fractional)
Tm 0.000 0.000 0.000
Tm 0.051 0.299 0.603
Tm 0.161 0.616 0.191
Tm 0.299 0.051 0.603
Tm 0.471 0.720 0.792
Tm 0.616 0.161 0.191
Tm 0.720 0.471 0.792
Tm 0.762 0.762 0.378
Ga 0.383 0.383 0.118
Pd 0.080 0.685 0.687
Pd 0.685 0.080 0.687

Properties
Symmetry: Cm (8)
Offset from the most stable computed form: 122 meV per atom
Magnetic moment: 0.003 μB per atom
ΔH_f (0 K): -335 meV per atom



Entry from Alexandria via LeMat-Bulk: a relaxed Tm3GaPd3 crystal (PBE).

Unit cell a=5.500 b=5.500 c=14.116 alpha=90.00 beta=90.00 gamma=136.62
Element x y z (fractional)
Tm 0.023 0.977 0.750
Tm 0.298 0.702 0.603
Tm 0.298 0.702 0.897
Tm 0.702 0.298 0.103
Tm 0.702 0.298 0.397
Tm 0.977 0.023 0.250
Ga 0.000 0.000 0.000
Ga 0.000 0.000 0.500
Pd 0.252 0.748 0.250
Pd 0.415 0.585 0.093
Pd 0.415 0.585 0.407
Pd 0.585 0.415 0.593
Pd 0.585 0.415 0.907
Pd 0.748 0.252 0.750

Properties
Symmetry: Cmcm (63)
Magnetic moment: 0.000 μB per atom
ΔH_f (0 K): -871 meV per atom